# Pr4NiPI2 | Alexandria via LeMat-Bulk | GGA-PBE | relaxed
data_Pr4NiPI2
_cell_length_a 4.116
_cell_length_b 7.570
_cell_length_c 8.169
_cell_angle_alpha 106.57
_cell_angle_beta 90.00
_cell_angle_gamma 90.00
_symmetry_space_group_name_H-M 'P 1'
_symmetry_Int_Tables_number 1
_symmetry_space_group_name_Hall 'P 1'
loop_
_atom_site_label
_atom_site_fract_x
_atom_site_fract_y
_atom_site_fract_z
_atom_site_occupancy
P1 0.500 0.500 0.000 1
I1 0.500 0.000 0.500 1
I2 0.000 0.500 0.500 1
Pr1 0.500 0.214 0.186 1
Pr2 0.000 0.272 0.804 1
Pr3 0.000 0.728 0.196 1
Pr4 0.500 0.786 0.814 1
Ni1 0.000 0.000 0.000 1
# Space-group type: P2/m
# Raw formation energy, meV/atom: -977



# Pr8Ni3PI4 | Alexandria via LeMat-Bulk | GGA-PBE | relaxed
data_Pr8Ni3PI4
_cell_length_a 8.420
_cell_length_b 9.354
_cell_length_c 8.424
_cell_angle_alpha 116.79
_cell_angle_beta 119.98
_cell_angle_gamma 90.00
_symmetry_space_group_name_H-M 'P 1'
_symmetry_Int_Tables_number 1
_symmetry_space_group_name_Hall 'P 1'
loop_
_atom_site_label
_atom_site_fract_x
_atom_site_fract_y
_atom_site_fract_z
_atom_site_occupancy
Ni1 0.500 0.500 0.000 1
Ni2 0.500 0.500 0.500 1
Ni3 0.000 0.500 0.500 1
I1 0.500 0.000 0.500 1
I2 0.000 0.000 0.000 1
I3 0.000 0.000 0.500 1
I4 0.500 0.000 0.000 1
Pr1 0.767 0.311 0.043 1
Pr2 0.723 0.689 0.957 1
Pr3 0.272 0.318 0.545 1
Pr4 0.277 0.311 0.043 1
Pr5 0.233 0.689 0.957 1
Pr6 0.767 0.311 0.534 1
Pr7 0.728 0.682 0.455 1
Pr8 0.233 0.689 0.466 1
P1 0.000 0.500 0.000 1
# Space-group type: R-3m
# Raw formation energy, meV/atom: -797



# Pr6Ni2PI3 | Alexandria via LeMat-Bulk | GGA-PBE | relaxed
data_Pr6Ni2PI3
_cell_length_a 7.330
_cell_length_b 7.330
_cell_length_c 8.282
_cell_angle_alpha 98.48
_cell_angle_beta 98.48
_cell_angle_gamma 119.93
_symmetry_space_group_name_H-M 'P 1'
_symmetry_Int_Tables_number 1
_symmetry_space_group_name_Hall 'P 1'
loop_
_atom_site_label
_atom_site_fract_x
_atom_site_fract_y
_atom_site_fract_z
_atom_site_occupancy
Ni1 0.667 0.333 0.000 1
Ni2 0.333 0.667 0.000 1
Pr1 0.063 0.407 0.188 1
Pr2 0.593 0.937 0.812 1
Pr3 0.282 0.282 0.813 1
Pr4 0.407 0.063 0.188 1
Pr5 0.718 0.718 0.187 1
Pr6 0.937 0.593 0.812 1
I1 0.837 0.163 0.500 1
I2 0.163 0.837 0.500 1
I3 0.500 0.500 0.500 1
P1 0.000 0.000 0.000 1
# Space-group type: C2/m
# Raw formation energy, meV/atom: -858



# Rb2NiPI6 | Alexandria via LeMat-Bulk | GGA-PBE | relaxed
data_Rb2NiPI6
_cell_length_a 7.952
_cell_length_b 7.952
_cell_length_c 7.928
_cell_angle_alpha 59.90
_cell_angle_beta 59.90
_cell_angle_gamma 90.00
_symmetry_space_group_name_H-M 'P 1'
_symmetry_Int_Tables_number 1
_symmetry_space_group_name_Hall 'P 1'
loop_
_atom_site_label
_atom_site_fract_x
_atom_site_fract_y
_atom_site_fract_z
_atom_site_occupancy
I1 0.245 0.755 0.000 1
I2 0.755 0.245 0.000 1
I3 0.245 0.245 0.510 1
I4 0.755 0.755 0.490 1
I5 0.245 0.245 0.000 1
I6 0.755 0.755 0.000 1
Rb1 0.250 0.750 0.500 1
Rb2 0.750 0.250 0.500 1
Ni1 0.000 0.000 0.000 1
P1 0.500 0.500 0.000 1
# Space-group type: I4/mmm
# Raw formation energy, meV/atom: -523



Calculated density, record by record: 6.2, 6.2, 6.2, 4.8 g/cm3
Density of states at the Fermi level, record by record: 0.7930, 0.8694, 0.9372, 0.3906 states/eV per atom
E, record by record: -41.224, -79.939, -60.601, -27.654 eV/cell